Entry from Alexandria via LeMat-Bulk: a relaxed structure of PHOsN (PBE).

Properties
The theoretical density comes out at 9.0 g/cm³. The density of states at the Fermi level comes out at 1.5 states/eV/cell. The crystal system is monoclinic. The value obtained for the final energy is -6.909 eV per atom. Its symmetry is Cm, No. 8. Its size of the total moment is 0.0 μB/cell.

Lattice parameters (Å, degrees): 4.0774 4.0774 4.5909 116.44 116.44 40.47
Positions (direct):
P 0.0000 0.0000 0.0000
H 0.2953 0.2953 0.4470
Os 0.6576 0.6576 0.7736
N 0.1534 0.1534 0.4299